No. 1
Na2GeBiS4: relaxed, PBE.

```
Na2GeBiS4
1.0
6.7915 0.0000 0.0000
0.0000 7.2681 0.0000
0.0000 0.0000 9.1178
Na Ge Bi S
4 2 2 8
Cartesian
3.3562 2.3964 2.2737
3.3562 2.3964 6.8441
6.7520 4.8718 6.8327
6.7520 4.8718 2.2852
3.3944 6.1558 4.5589
6.7902 1.1123 0.0000
6.5359 1.2728 4.5589
3.1401 5.9953 0.0000
2.3102 1.1800 0.0000
5.7060 6.0881 4.5589
2.7968 1.0483 4.5589
6.1926 6.2198 0.0000
2.7080 5.1203 6.4671
6.1037 2.1479 1.9082
6.1037 2.1479 7.2096
2.7080 5.1203 2.6507
```

Output
ΔE_f (raw) ... -4.79 eV/f.u.
Calculated total energy ... -4.05 eV/atom
Spin magnetization ... 0.0000 μB/atom
Density of states at the Fermi level ... 2.8 states/eV per cell

No. 2
LiPuNi4: relaxed, PBE.

```
LiPuNi4
1.0
4.8960 0.0000 0.0000
2.4480 4.2401 0.0000
2.4480 1.4134 3.9976
Ni Li Pu
4 1 1
Cartesian
4.8960 2.8267 0.4919
4.8960 1.4060 2.5011
6.1263 3.5370 2.5011
3.6657 3.5370 2.5011
0.0000 0.0000 0.0000
2.4480 1.4134 0.9994
```

Output
Calculated total energy ... -6.74 eV/atom
Spin magnetization ... 0.6461 μB/atom
Density of states at the Fermi level ... 16.4 states/eV per cell
Energy of formation ... -180 meV/atom

No. 3
CuPbAu2: relaxed, PBE.

```
CuPbAu2
1.0
4.7403 -0.0972 -0.0231
3.0843 3.6010 -0.0231
1.5085 0.6755 4.7906
Au Cu Pb
2 1 1
Cartesian
1.5408 0.6900 4.5195
7.0085 3.1384 3.2747
4.6194 2.0686 2.9296
2.3393 1.0476 1.1835
```

Output
Calculated total energy ... -3.51 eV/atom
Spin magnetization ... 0.0000 μB/atom
Density of states at the Fermi level ... 1.3 states/eV per cell
Energy of formation ... 78 meV/atom

What did the first record say?
Na2GeBiS4: relaxed, PBE.

```
Na2GeBiS4
1.0
6.7915 0.0000 0.0000
0.0000 7.2681 0.0000
0.0000 0.0000 9.1178
Na Ge Bi S
4 2 2 8
Cartesian
3.3562 2.3964 2.2737
3.3562 2.3964 6.8441
6.7520 4.8718 6.8327
6.7520 4.8718 2.2852
3.3944 6.1558 4.5589
6.7902 1.1123 0.0000
6.5359 1.2728 4.5589
3.1401 5.9953 0.0000
2.3102 1.1800 0.0000
5.7060 6.0881 4.5589
2.7968 1.0483 4.5589
6.1926 6.2198 0.0000
2.7080 5.1203 6.4671
6.1037 2.1479 1.9082
6.1037 2.1479 7.2096
2.7080 5.1203 2.6507
```

Output
ΔE_f (raw) ... -4.79 eV/f.u.
Calculated total energy ... -4.05 eV/atom
Spin magnetization ... 0.0000 μB/atom
Density of states at the Fermi level ... 2.8 states/eV per cell

Question: The lowest calculated total energy belongs to which entry?
Answer: LiPuNi4

Question: Number 3 is which compound?
Answer: CuPbAu2

Question: The lowest density of states at the Fermi level belongs to which entry?
Answer: CuPbAu2